Material: CaHoAu2
Method: DFT, PBE
State: optimized geometry

Results
The calculation puts the total DFT energy (no corrections) at -16.1 eV per cell. The density of states at the Fermi level is 1.29 states/eV/f.u. The space-group type is R-3m, No. 166.

Unit cell a=7.4585 b=7.4585 c=7.4585 alpha=32.57 beta=32.57 gamma=32.57
Fractional positions:
Ca1 0.0000 0.0000 0.0000
Ho1 0.5000 0.5000 0.5000
Au1 0.2449 0.2449 0.2449
Au2 0.7551 0.7551 0.7551

***

Material: CaHo3Au2
Method: DFT, PBE
State: optimized geometry

Results
The calculation puts the total DFT energy (no corrections) at -52.1 eV per cell. The density of states at the Fermi level is 5.41 states/eV/f.u. The space-group type is Pmc2_1, No. 26.

Unit cell a=4.9222 b=8.9000 c=7.3093 alpha=90.00 beta=90.00 gamma=90.00
Fractional positions:
Ca1 0.0000 0.0735 0.0000
Ca2 0.0000 0.9265 0.5000
Ho1 0.0000 0.3290 0.6293
Ho2 0.0000 0.6710 0.1293
Ho3 0.5000 0.1773 0.3329
Ho4 0.5000 0.4266 0.9627
Ho5 0.5000 0.5734 0.4627
Ho6 0.5000 0.8227 0.8329
Au1 0.0000 0.3569 0.2334
Au2 0.0000 0.6431 0.7334
Au3 0.5000 0.1519 0.7269
Au4 0.5000 0.8481 0.2269

***

Number 1: mass density 9.30 g/cm³. Number 2: mass density 9.63 g/cm³.